Record 1
DFT (PBE) results for a geometry-optimized TmInNiSe3 structure.

The total DFT energy (no corrections) comes out at -4.75 eV/atom.

The space group is P2_1/m (No. 11) and the conventional cell measures 8.169, 3.889 and 10.021 Å, with angles of 90.00, 109.74 and 90.00 degrees. The distinct sites, in fractional coordinates, are Tm at (0.195, 0.250, 0.152), In at (0.237, 0.750, 0.705), Ni at (0.416, 0.750, 0.403), Se at (0.061, 0.250, 0.855), Se at (0.285, 0.250, 0.460) and Se at (0.448, 0.750, 0.172).

Record 2
DFT (PBE) results for a geometry-optimized AcTbNd structure.

The total DFT energy (no corrections) comes out at -3.81 eV/atom. For the formation energy from the elements, the calculation gives 0.687 eV per atom.

The space group is F-43m (No. 216) and the conventional cell measures 8.050, 8.050 and 8.050 Å, with angles of 90.00, 90.00 and 90.00 degrees. The distinct sites, in fractional coordinates, are Ac at (0.000, 0.000, 0.000), Tb at (0.000, 0.000, 0.500) and Nd at (0.250, 0.250, 0.750).

- Number 1 is which compound?
  TmInNiSe3